# Ba4Na2Se

A relaxed Ba4Na2Se crystal (PBE-GGA, Alexandria via LeMat-Bulk).

abc: 10.7195 10.7195 10.7195
angles: 145.69 145.69 49.31
With the nearest neighbours (Å) after each atom.
Atoms (fractional coordinates):
Ba 0.0000 0.5000 0.5000  2 Se 3.16
Ba 0.1752 0.1752 0.0000  1 Se 3.41, 1 Na 3.82
Ba 0.5000 0.0000 0.5000  2 Se 3.16
Ba 0.8248 0.8248 0.0000  1 Se 3.41, 1 Na 3.82
Na 0.3712 0.3712 0.0000  5 Ba 3.82-4.04
Na 0.6288 0.6288 0.0000  5 Ba 3.82-4.04
Se 0.0000 0.0000 0.0000  6 Ba 3.16-3.41

## Properties
uncorrected formation energy: -3.1 eV per formula unit
N(E_F): 7.63 states/eV/f.u.
space-group type: I4/mmm (139)